CdH9C3NCl3: relaxed, GGA-PBE.

Cell: 9.012 9.012 6.514 Å, 90.00 90.00 120.00°
Atoms (fractional coordinates):
C: 0.157 0.538 0.250
C: 0.462 0.620 0.250
C: 0.381 0.843 0.250
C: 0.619 0.157 0.750
C: 0.538 0.380 0.750
C: 0.843 0.462 0.750
Cd: 0.000 0.000 0.000
Cd: 0.000 0.000 0.500
Cl: 0.836 0.105 0.250
Cl: 0.269 0.164 0.250
Cl: 0.895 0.731 0.250
Cl: 0.105 0.269 0.750
Cl: 0.731 0.836 0.750
Cl: 0.164 0.895 0.750
H: 0.443 0.536 0.116
H: 0.093 0.557 0.116
H: 0.464 0.907 0.116
H: 0.141 0.409 0.250
H: 0.591 0.732 0.250
H: 0.268 0.859 0.250
H: 0.464 0.907 0.384
H: 0.093 0.557 0.384
H: 0.443 0.536 0.384
H: 0.557 0.464 0.616
H: 0.907 0.443 0.616
H: 0.536 0.093 0.616
H: 0.732 0.141 0.750
H: 0.409 0.268 0.750
H: 0.859 0.591 0.750
H: 0.536 0.093 0.884
H: 0.907 0.443 0.884
H: 0.557 0.464 0.884
N: 0.333 0.667 0.250
N: 0.667 0.333 0.750

Values from the calculation:
As for the symmetry: No. 176. The calculation puts the energy at -4.59 eV per atom. The volume is 13.476 A^3/atom.

=====

CdH8C2NCl3: relaxed, GGA-PBE.

Cell: 8.612 13.102 6.728 Å, 90.00 98.66 90.00°
Atoms (fractional coordinates):
C: 0.286 0.418 0.105
C: 0.859 0.891 0.106
C: 0.141 0.391 0.394
C: 0.714 0.918 0.395
C: 0.286 0.082 0.605
C: 0.859 0.609 0.606
C: 0.141 0.109 0.894
C: 0.714 0.582 0.895
Cd: 0.702 0.258 0.020
Cd: 0.298 0.758 0.480
Cd: 0.702 0.242 0.520
Cd: 0.298 0.742 0.980
Cl: 0.097 0.661 0.193
Cl: 0.490 0.167 0.214
Cl: 0.304 0.904 0.218
Cl: 0.696 0.404 0.282
Cl: 0.510 0.667 0.286
Cl: 0.903 0.161 0.307
Cl: 0.097 0.839 0.693
Cl: 0.490 0.333 0.714
Cl: 0.304 0.596 0.718
Cl: 0.696 0.096 0.782
Cl: 0.510 0.833 0.786
Cl: 0.903 0.339 0.807
H: 0.175 0.441 0.013
H: 0.142 0.087 0.052
H: 0.384 0.461 0.061
H: 0.621 0.920 0.089
H: 0.307 0.336 0.091
H: 0.846 0.808 0.119
H: 0.735 0.020 0.167
H: 0.968 0.916 0.197
H: 0.032 0.416 0.303
H: 0.265 0.520 0.333
H: 0.154 0.308 0.381
H: 0.693 0.836 0.409
H: 0.379 0.420 0.411
H: 0.616 0.961 0.439
H: 0.858 0.587 0.448
H: 0.825 0.941 0.487
H: 0.175 0.059 0.513
H: 0.142 0.413 0.552
H: 0.384 0.039 0.561
H: 0.621 0.580 0.589
H: 0.307 0.164 0.591
H: 0.846 0.692 0.619
H: 0.735 0.480 0.667
H: 0.968 0.584 0.697
H: 0.032 0.084 0.803
H: 0.265 0.980 0.833
H: 0.154 0.192 0.881
H: 0.693 0.664 0.909
H: 0.379 0.080 0.911
H: 0.616 0.539 0.939
H: 0.858 0.913 0.948
H: 0.825 0.559 0.987
N: 0.724 0.942 0.181
N: 0.276 0.442 0.319
N: 0.724 0.558 0.681
N: 0.276 0.058 0.819

Values from the calculation:
As for the symmetry: No. 14. The calculation puts the energy at -4.51 eV per atom. The volume is 12.507 A^3/atom.